# MgAl2Pb

A geometry-optimized MgAl2Pb structure (PBE-GGA, the Alexandria database).

Cell: 5.042 5.042 5.042 Å, 60.00 60.00 60.00°
Element x y z (fractional)
Mg 0.000 0.000 0.000
Al 0.500 0.500 0.500
Al 0.750 0.750 0.750
Pb 0.250 0.250 0.250

Output
**Symmetry**: No. 216
**Calculated total energy**: -2.99 eV per atom